1.
VASP calculation (GGA-PBEsol) on an optimized crystal structure of AgF.

```
AgF
1.0
3.447 0.000 0.000
1.724 2.986 0.000
1.724 0.995 2.815
F Ag
1 1
Direct
0.500 0.500 0.500 F
0.000 0.000 0.000 Ag
```

Output
Raw formation energy: -0.86 eV per atom
Space-group type: Fm-3m, No. 225
Magnetic moment: 0.000 μB/f.u.

2.
VASP calculation (GGA-PBEsol) on an optimized crystal structure of Ag2F3.

```
Ag2F3
1.0
5.641 0.000 0.000
2.820 4.885 0.000
2.820 1.628 5.433
F Ag
6 4
Direct
0.063 0.750 0.750 F
0.937 0.250 0.250 F
0.563 0.937 0.250 F
0.437 0.063 0.750 F
0.250 0.563 0.250 F
0.750 0.437 0.750 F
0.345 0.345 0.965 Ag
0.845 0.845 0.465 Ag
0.155 0.155 0.535 Ag
0.655 0.655 0.035 Ag
```

Output
Raw formation energy: -1.00 eV per atom
Space-group type: R-3c, No. 167
Magnetic moment: 0.842 μB/f.u.

3.
VASP calculation (GGA-PBEsol) on an optimized crystal structure of FeAgF2.

```
FeAgF2
1.0
2.822 0.000 0.000
1.411 2.444 0.000
1.411 0.815 7.769
F Ag Fe
2 1 1
Direct
0.076 0.076 0.771 F
0.924 0.924 0.229 F
0.500 0.500 0.500 Ag
0.000 0.000 0.000 Fe
```

Output
Raw formation energy: -0.95 eV per atom
Space-group type: R-3m, No. 166
Magnetic moment: 3.474 μB/f.u.

4.
VASP calculation (GGA-PBEsol) on an optimized crystal structure of FeAg3F.

```
FeAg3F
1.0
4.735 0.000 0.000
0.000 4.735 0.000
0.000 0.000 4.735
Ag Fe F
3 1 1
Direct
0.500 0.000 0.000 Ag
0.000 0.500 0.000 Ag
0.000 0.000 0.500 Ag
0.000 0.000 0.000 Fe
0.500 0.500 0.500 F
```

Output
Raw formation energy: 0.91 eV per atom
Space-group type: Pm-3m, No. 221
Magnetic moment: 3.050 μB/f.u.

5.
VASP calculation (GGA-PBEsol) on an optimized crystal structure of Fe2AgPF.

```
Fe2AgPF
1.0
-2.259 1.471 -2.818
-3.861 -0.754 2.702
0.474 4.355 1.893
Ag P F Fe
1 1 1 2
Direct
0.000 0.000 0.000 Ag
0.500 0.500 0.500 P
0.500 0.000 0.000 F
0.000 0.500 0.000 Fe
0.000 0.000 0.500 Fe
```

Output
Raw formation energy: 1.05 eV per atom
Space-group type: P4/mmm, No. 123
Magnetic moment: 6.679 μB/f.u.

6.
VASP calculation (GGA-PBEsol) on an optimized crystal structure of MnAgGeF2.

```
MnAgGeF2
1.0
4.047 0.000 0.000
0.000 4.047 0.000
0.000 0.000 5.196
Mn Ge F Ag
1 1 2 1
Direct
0.500 0.500 0.500 Mn
0.000 0.000 0.000 Ge
0.500 0.000 0.000 F
0.000 0.500 0.000 F
0.000 0.000 0.500 Ag
```

Output
Raw formation energy: -0.58 eV per atom
Space-group type: P4/mmm, No. 123
Magnetic moment: 4.851 μB/f.u.

7.
VASP calculation (GGA-PBEsol) on an optimized crystal structure of AgGe2OsF.

```
AgGe2OsF
1.0
-0.336 -1.199 4.096
3.249 -2.736 -0.535
2.771 3.070 1.126
Ge Ag Os F
2 1 1 1
Direct
0.500 0.000 0.000 Ge
0.000 0.500 0.000 Ge
0.000 0.000 0.500 Ag
0.500 0.500 0.500 Os
0.000 0.000 0.000 F
```

Output
Raw formation energy: 0.60 eV per atom
Space-group type: P4/mmm, No. 123
Magnetic moment: 0.000 μB/f.u.

8.
VASP calculation (GGA-PBEsol) on an optimized crystal structure of AgHO2F.

```
AgHO2F
1.0
-1.592 1.811 1.881
-2.471 -1.757 -0.400
1.362 -2.789 3.839
H O Ag F
1 2 1 1
Direct
0.000 0.000 0.000 H
0.000 0.500 0.000 O
0.500 0.000 0.000 O
0.500 0.500 0.500 Ag
0.000 0.000 0.500 F
```

Output
Energy: -17.59 eV per formula unit
Space-group type: P4/mmm, No. 123
Magnetic moment: 0.368 μB/f.u.

9.
VASP calculation (GGA-PBEsol) on an optimized crystal structure of HfMnAgF2.

```
HfMnAgF2
1.0
3.994 0.000 0.000
0.000 3.994 0.000
0.000 0.000 5.601
Ag Mn F Hf
1 1 2 1
Direct
0.500 0.500 0.500 Ag
0.000 0.000 0.500 Mn
0.000 0.500 0.000 F
0.500 0.000 0.000 F
0.000 0.000 0.000 Hf
```

Output
Raw formation energy: -1.14 eV per atom
Space-group type: P4/mmm, No. 123
Magnetic moment: 3.731 μB/f.u.

10.
VASP calculation (GGA-PBEsol) on an optimized crystal structure of HfAgNF2.

```
HfAgNF2
1.0
-2.776 2.121 2.108
-2.654 -3.073 -0.404
1.416 -1.692 3.566
F Ag N Hf
2 1 1 1
Direct
0.000 0.500 0.000 F
0.500 0.000 0.000 F
0.500 0.500 0.500 Ag
0.000 0.000 0.500 N
0.000 0.000 0.000 Hf
```

Output
Raw formation energy: -1.70 eV per atom
Space-group type: P4/mmm, No. 123
Magnetic moment: 0.000 μB/f.u.

11.
VASP calculation (GGA-PBEsol) on an optimized crystal structure of NbAg2HgF.

```
NbAg2HgF
1.0
4.256 0.000 0.000
0.000 5.150 0.000
0.000 0.000 5.150
Ag Hg F Nb
2 1 1 1
Direct
0.000 0.500 0.000 Ag
0.000 0.000 0.500 Ag
0.000 0.000 0.000 Hg
0.500 0.000 0.000 F
0.500 0.500 0.500 Nb
```

Output
Raw formation energy: 0.83 eV per atom
Space-group type: P4/mmm, No. 123
Magnetic moment: 3.444 μB/f.u.

12.
VASP calculation (GGA-PBEsol) on an optimized crystal structure of NiAgHgF2.

```
NiAgHgF2
1.0
-2.956 -2.058 -1.803
1.318 -3.397 1.717
-3.074 0.858 4.059
Ag Hg F Ni
1 1 2 1
Direct
0.000 0.000 0.000 Ag
0.500 0.500 0.500 Hg
0.000 0.500 0.000 F
0.500 0.000 0.000 F
0.000 0.000 0.500 Ni
```

Output
Raw formation energy: -0.25 eV per atom
Space-group type: P4/mmm, No. 123
Magnetic moment: 0.605 μB/f.u.